(1)
Here is a geometry-optimized PmSm3Mg6 structure from the Alexandria database. Energies are from PBE.

Cell and atoms, written as POSCAR:
```
PmSm3Mg6
1.0
5.331 0.000 0.000
0.000 9.005 -2.730
0.000 0.230 11.391
Pm Sm Mg
2 6 12
direct
0.250 0.948 0.606 Pm
0.750 0.052 0.394 Pm
0.250 0.539 0.395 Sm
0.750 0.461 0.605 Sm
0.250 0.351 0.794 Sm
0.750 0.649 0.206 Sm
0.250 0.755 0.004 Sm
0.750 0.245 0.996 Sm
0.250 0.441 0.099 Mg
0.750 0.559 0.901 Mg
0.250 0.146 0.194 Mg
0.750 0.854 0.806 Mg
0.250 0.661 0.708 Mg
0.750 0.339 0.292 Mg
0.250 0.243 0.491 Mg
0.750 0.757 0.509 Mg
0.250 0.857 0.302 Mg
0.750 0.143 0.698 Mg
0.250 0.048 0.902 Mg
0.750 0.952 0.098 Mg
```

Output
ΔE_f = -0.08 eV/atom
volume = 550 Å³/cell
D(E_F) = 0.97 states/eV per atom
electronic total energy = -2.930 eV/atom

---

(2)
Here is a geometry-optimized PuUPb2 structure from the Alexandria database. Energies are from PBE.

Cell and atoms, written as POSCAR:
```
PuUPb2
1.0
4.191 0.000 0.000
0.000 4.191 0.000
0.000 0.000 6.237
Pb U Pu
2 1 1
direct
0.000 0.000 0.748 Pb
0.000 0.000 0.252 Pb
0.500 0.500 0.500 U
0.500 0.500 0.000 Pu
```

Output
ΔE_f = 0.09 eV/atom
volume = 110 Å³/cell
D(E_F) = 3.32 states/eV per atom
electronic total energy = -8.171 eV/atom
distance to the lowest polymorph of the same formula = 0.00 eV/f.u.

---

(3)
Here is a geometry-optimized PrCd8Ni4 structure from the Alexandria database. Energies are from PBE.

Cell and atoms, written as POSCAR:
```
PrCd8Ni4
1.0
5.467 0.000 0.000
2.734 6.675 0.000
2.734 0.000 6.675
Pr Cd Ni
1 8 4
direct
0.000 0.000 0.000 Pr
0.000 0.337 0.663 Cd
0.000 0.663 0.337 Cd
0.337 0.663 0.663 Cd
0.663 0.337 0.337 Cd
0.500 0.779 0.221 Cd
0.500 0.221 0.779 Cd
0.279 0.221 0.221 Cd
0.721 0.779 0.779 Cd
0.000 0.000 0.500 Ni
0.500 0.000 0.500 Ni
0.000 0.500 0.000 Ni
0.500 0.500 0.000 Ni
```

Output
ΔE_f = -0.09 eV/atom
volume = 244 Å³/cell
D(E_F) = 0.80 states/eV per atom
electronic total energy = -2.796 eV/atom

---

(4)
Here is a geometry-optimized InTeIrN2 structure from the Alexandria database. Energies are from PBE.

Cell and atoms, written as POSCAR:
```
InTeIrN2
1.0
-1.496 -3.440 -1.576
3.162 -2.067 1.510
-3.296 -1.063 5.448
N Ir Te In
2 1 1 1
direct
0.000 0.500 0.000 N
0.500 0.000 0.000 N
0.500 0.500 0.500 Ir
0.000 0.000 0.500 Te
0.000 0.000 0.000 In
```

Output
volume = 107 Å³/cell
D(E_F) = 0.72 states/eV per atom
electronic total energy = -4.373 eV/atom
distance to the lowest polymorph of the same formula = 5.21 eV/f.u.
ΔE_f (raw) = 1.905 eV/atom

---

(5)
Here is a geometry-optimized Ni3Sn2As structure from the Alexandria database. Energies are from PBE.

Cell and atoms, written as POSCAR:
```
Ni3Sn2As
1.0
4.894 0.000 0.000
0.000 7.301 0.006
-2.447 -1.821 5.463
Ni Sn As
6 4 2
direct
0.686 0.250 0.000 Ni
0.314 0.750 0.000 Ni
0.116 0.057 0.231 Ni
0.885 0.443 0.769 Ni
0.115 0.557 0.231 Ni
0.884 0.943 0.769 Ni
0.694 0.598 0.391 Sn
0.697 0.098 0.391 Sn
0.303 0.902 0.609 Sn
0.306 0.402 0.609 Sn
0.808 0.750 0.000 As
0.192 0.250 0.000 As
```

Output
ΔE_f = -0.13 eV/atom
volume = 195 Å³/cell
D(E_F) = 0.63 states/eV per atom
electronic total energy = -5.127 eV/atom

---

(6)
Here is a geometry-optimized Tb2Pm5Th3 structure from the Alexandria database. Energies are from PBE.

Cell and atoms, written as POSCAR:
```
Tb2Pm5Th3
1.0
-3.857 -1.026 3.156
-4.401 -3.694 -2.478
1.175 -12.906 1.340
Tb Pm Th
2 5 3
direct
0.402 0.991 0.205 Tb
0.598 0.009 0.795 Tb
0.000 0.000 0.000 Pm
0.199 0.003 0.599 Pm
0.801 0.997 0.401 Pm
0.698 0.500 0.103 Pm
0.302 0.500 0.897 Pm
0.500 0.500 0.500 Th
0.098 0.503 0.302 Th
0.902 0.497 0.698 Th
```

Output
ΔE_f = 0.05 eV/atom
volume = 332 Å³/cell
D(E_F) = 1.37 states/eV per atom
electronic total energy = -5.479 eV/atom

---

What is the volume in the fourth record? 107 Å³/cell

---

What did the sixth record say?
Here is a geometry-optimized Tb2Pm5Th3 structure from the Alexandria database. Energies are from PBE.

Cell and atoms, written as POSCAR:
```
Tb2Pm5Th3
1.0
-3.857 -1.026 3.156
-4.401 -3.694 -2.478
1.175 -12.906 1.340
Tb Pm Th
2 5 3
direct
0.402 0.991 0.205 Tb
0.598 0.009 0.795 Tb
0.000 0.000 0.000 Pm
0.199 0.003 0.599 Pm
0.801 0.997 0.401 Pm
0.698 0.500 0.103 Pm
0.302 0.500 0.897 Pm
0.500 0.500 0.500 Th
0.098 0.503 0.302 Th
0.902 0.497 0.698 Th
```

Output
ΔE_f = 0.05 eV/atom
volume = 332 Å³/cell
D(E_F) = 1.37 states/eV per atom
electronic total energy = -5.479 eV/atom